A crystal of FeRe2 relaxed with PBEsol. Source: Alexandria, functional SCAN.

Properties
Total DFT energy (no corrections) (eV per atom): -53.364
Total magnetic moment (μB per atom): 0.5680
Space-group type: I4_1/amd

a = 3.7626 Å, b = 3.7626 Å, c = 11.5379 Å
α = 99.38°, β = 99.38°, γ = 90.00°
Last column: nearest neighbours and their distance in Å.
Positions (direct):
1 Fe 0.9149 0.9149 0.8299  10 Re 2.59-2.69, 2 Fe 2.60
2 Fe 0.0851 0.0851 0.1701  10 Re 2.59-2.69, 2 Fe 2.60
3 Fe 0.1649 0.6649 0.3299  10 Re 2.59-2.69, 2 Fe 2.60
4 Fe 0.3351 0.8351 0.6701  10 Re 2.59-2.69, 2 Fe 2.60
5 Re 0.7509 0.7509 0.5017  8 Re 2.66-2.70, 4 Fe 2.67-2.69
6 Re 0.2491 0.2491 0.4983  8 Re 2.66-2.70, 4 Fe 2.67-2.69
7 Re 0.0009 0.5009 0.0017  8 Re 2.66-2.70, 4 Fe 2.67-2.69
8 Re 0.4991 0.9991 0.9983  8 Re 2.66-2.70, 4 Fe 2.67-2.69
9 Re 0.5857 0.5857 0.1714  6 Re 2.58-2.70, 6 Fe 2.59-2.66
10 Re 0.4143 0.4143 0.8286  6 Re 2.58-2.70, 6 Fe 2.59-2.66
11 Re 0.8357 0.3357 0.6714  6 Re 2.58-2.70, 6 Fe 2.59-2.66
12 Re 0.6643 0.1643 0.3286  6 Re 2.58-2.70, 6 Fe 2.59-2.66